Arrangement one

# CaAc4Se5 (GGA-PBE, optimized geometry)
# Total magnetic moment ... 0.00 μB per atom
data_CaAc4Se5
_space_group_name_H-M_alt 'P 1'
_space_group_IT_number 1
_space_group_name_Hall 'P 1'
_cell_length_a 4.420
_cell_length_b 4.420
_cell_length_c 18.256
_cell_angle_alpha 83.05
_cell_angle_beta 83.05
_cell_angle_gamma 60.00
loop_
_atom_site_label
_atom_site_type_symbol
_atom_site_fract_x
_atom_site_fract_y
_atom_site_fract_z
Ac1 Ac 0.299 0.299 0.103
Ca1 Ca 0.500 0.500 0.500
Se1 Se 0.401 0.401 0.796
Ac2 Ac 0.899 0.899 0.303
Se2 Se 0.197 0.197 0.410
Ac3 Ac 0.101 0.101 0.697
Se3 Se 0.599 0.599 0.204
Ac4 Ac 0.701 0.701 0.897
Se4 Se 0.803 0.803 0.590
Se5 Se 0.000 0.000 0.000

Arrangement two

# CaAc4Se5 (GGA-PBE, optimized geometry)
# Total magnetic moment ... 0.00 μB per atom
data_CaAc4Se5
_space_group_name_H-M_alt 'P 1'
_space_group_IT_number 1
_space_group_name_Hall 'P 1'
_cell_length_a 6.276
_cell_length_b 7.659
_cell_length_c 7.659
_cell_angle_alpha 80.34
_cell_angle_beta 65.81
_cell_angle_gamma 65.81
loop_
_atom_site_label
_atom_site_type_symbol
_atom_site_fract_x
_atom_site_fract_y
_atom_site_fract_z
Ca1 Ca 0.002 0.000 0.000
Se1 Se 0.903 0.384 0.812
Ac1 Ac 0.197 0.207 0.400
Ac2 Ac 0.804 0.793 0.600
Se2 Se 0.287 0.812 0.616
Ac3 Ac 0.597 0.600 0.207
Se3 Se 0.099 0.616 0.188
Se4 Se 0.715 0.188 0.384
Ac4 Ac 0.405 0.400 0.793
Se5 Se 0.501 0.000 0.000

Need the numbers? Relative energies in meV/atom: arrangement one 0; arrangement two 9.

Arrangement one

# Ca2AcSe (GGA-PBE, optimized geometry)
# Total magnetic moment ... 0.16 μB per atom
data_Ca2AcSe
_space_group_name_H-M_alt 'P 1'
_space_group_IT_number 1
_space_group_name_Hall 'P 1'
_cell_length_a 4.016
_cell_length_b 4.016
_cell_length_c 10.679
_cell_angle_alpha 79.16
_cell_angle_beta 79.16
_cell_angle_gamma 60.00
loop_
_atom_site_label
_atom_site_type_symbol
_atom_site_fract_x
_atom_site_fract_y
_atom_site_fract_z
Ac1 Ac 0.500 0.500 0.500
Se1 Se 0.000 0.000 0.000
Ca1 Ca 0.276 0.276 0.173
Ca2 Ca 0.724 0.724 0.827

Arrangement two

# Ca2AcSe (GGA-PBE, optimized geometry)
# Total magnetic moment ... 0.00 μB per atom
data_Ca2AcSe
_space_group_name_H-M_alt 'P 1'
_space_group_IT_number 1
_space_group_name_Hall 'P 1'
_cell_length_a 3.757
_cell_length_b 3.757
_cell_length_c 9.531
_cell_angle_alpha 90.00
_cell_angle_beta 90.00
_cell_angle_gamma 90.00
loop_
_atom_site_label
_atom_site_type_symbol
_atom_site_fract_x
_atom_site_fract_y
_atom_site_fract_z
Ca1 Ca 0.000 0.000 0.819
Se1 Se 0.500 0.500 0.000
Ca2 Ca 0.000 0.000 0.181
Ac1 Ac 0.500 0.500 0.500

Need the numbers? Relative energies in meV/atom: arrangement one 0; arrangement two 103.

Arrangement one

# Ca3AcSe4 (GGA-PBE, optimized geometry)
# Total magnetic moment ... 0.00 μB per atom
data_Ca3AcSe4
_space_group_name_H-M_alt 'P 1'
_space_group_IT_number 1
_space_group_name_Hall 'P 1'
_cell_length_a 4.285
_cell_length_b 7.430
_cell_length_c 7.430
_cell_angle_alpha 109.42
_cell_angle_beta 90.00
_cell_angle_gamma 90.00
loop_
_atom_site_label
_atom_site_type_symbol
_atom_site_fract_x
_atom_site_fract_y
_atom_site_fract_z
Ca1 Ca 0.500 0.500 0.500
Ca2 Ca 0.000 0.000 0.500
Se1 Se 0.000 0.263 0.263
Ac1 Ac 0.500 0.000 0.000
Se2 Se 0.500 0.744 0.256
Se3 Se 0.500 0.256 0.744
Ca3 Ca 0.000 0.500 0.000
Se4 Se 0.000 0.737 0.737

Arrangement two

# Ca3AcSe4 (GGA-PBE, optimized geometry)
# Total magnetic moment ... 0.11 μB per atom
data_Ca3AcSe4
_space_group_name_H-M_alt 'P 1'
_space_group_IT_number 1
_space_group_name_Hall 'P 1'
_cell_length_a 4.245
_cell_length_b 4.245
_cell_length_c 28.623
_cell_angle_alpha 90.00
_cell_angle_beta 90.00
_cell_angle_gamma 120.00
loop_
_atom_site_label
_atom_site_type_symbol
_atom_site_fract_x
_atom_site_fract_y
_atom_site_fract_z
Ac1 Ac 0.333 0.667 0.250
Se1 Se 0.000 0.000 0.321
Ca1 Ca 0.667 0.333 0.119
Ca2 Ca 0.333 0.667 0.881
Se2 Se 0.000 0.000 0.679
Ac2 Ac 0.667 0.333 0.750
Ca3 Ca 0.333 0.667 0.619
Se3 Se 0.667 0.333 0.560
Se4 Se 0.333 0.667 0.060
Se5 Se 0.333 0.667 0.440
Ca4 Ca 0.000 0.000 0.000
Se6 Se 0.000 0.000 0.821
Ca5 Ca 0.667 0.333 0.381
Se7 Se 0.667 0.333 0.940
Ca6 Ca 0.000 0.000 0.500
Se8 Se 0.000 0.000 0.179

Need the numbers? Relative energies in meV/atom: arrangement one 15; arrangement two 0.

Arrangement one

# CaAc2Se3 (GGA-PBE, optimized geometry)
# Total magnetic moment ... 0.00 μB per atom
data_CaAc2Se3
_space_group_name_H-M_alt 'P 1'
_space_group_IT_number 1
_space_group_name_Hall 'P 1'
_cell_length_a 4.201
_cell_length_b 5.280
_cell_length_c 9.042
_cell_angle_alpha 106.98
_cell_angle_beta 103.43
_cell_angle_gamma 90.00
loop_
_atom_site_label
_atom_site_type_symbol
_atom_site_fract_x
_atom_site_fract_y
_atom_site_fract_z
Se1 Se 0.827 0.827 0.655
Ac1 Ac 0.643 0.643 0.285
Se2 Se 0.173 0.173 0.345
Ca1 Ca 0.000 0.000 0.000
Se3 Se 0.000 0.500 0.000
Ac2 Ac 0.357 0.357 0.715

Arrangement two

# CaAc2Se3 (GGA-PBE, optimized geometry)
# Total magnetic moment ... 0.00 μB per atom
data_CaAc2Se3
_space_group_name_H-M_alt 'P 1'
_space_group_IT_number 1
_space_group_name_Hall 'P 1'
_cell_length_a 4.315
_cell_length_b 4.315
_cell_length_c 22.468
_cell_angle_alpha 90.00
_cell_angle_beta 90.00
_cell_angle_gamma 120.00
loop_
_atom_site_label
_atom_site_type_symbol
_atom_site_fract_x
_atom_site_fract_y
_atom_site_fract_z
Ca1 Ca 0.000 0.000 0.750
Ca2 Ca 0.000 0.000 0.250
Se1 Se 0.333 0.667 0.171
Se2 Se 0.000 0.000 0.500
Ac1 Ac 0.333 0.667 0.584
Se3 Se 0.000 0.000 0.000
Se4 Se 0.333 0.667 0.329
Ac2 Ac 0.667 0.333 0.416
Ac3 Ac 0.333 0.667 0.916
Se5 Se 0.667 0.333 0.671
Se6 Se 0.667 0.333 0.829
Ac4 Ac 0.667 0.333 0.084

Need the numbers? Relative energies in meV/atom: arrangement one 167; arrangement two 0.